[1]
The following is a GGA-PBE calculation of Er8Co2Pt after structural relaxation, from the Alexandria database.

Output
Calculated total energy ... -60.42 eV per formula unit
Calculated formation energy ... -333 meV per atom
Volume ... 263.6 Å³/f.u.

Lattice parameters (Å, degrees): 4.894 6.623 8.828 105.82 106.09 90.00
Fractional positions:
Er: 0.327 0.024 0.654
Er: 0.595 0.457 0.190
Er: 0.405 0.543 0.810
Er: 0.797 0.675 0.594
Er: 0.203 0.325 0.406
Er: 0.963 0.214 0.926
Er: 0.673 0.976 0.346
Er: 0.037 0.786 0.074
Pt: 0.500 0.000 0.000
Co: 0.188 0.711 0.377
Co: 0.812 0.289 0.623

[2]
The following is a GGA-PBE calculation of K2UGe3O12 after structural relaxation, from the Alexandria database.

Output
Calculated total energy ... -115.76 eV per formula unit
Formation energy (no corrections) ... -1.61 eV per atom
Volume ... 262.9 Å³/f.u.

Lattice parameters (Å, degrees): 7.431 7.431 7.431 55.94 55.94 55.94
Last column: magnetic moment on the atom in μB.
Fractional positions:
O: 0.069 0.069 0.665  0.06
O: 0.680 0.680 0.078  0.32
O: 0.665 0.069 0.069  0.06
O: 0.320 0.320 0.922  0.32
O: 0.931 0.335 0.931  0.06
O: 0.078 0.680 0.680  0.32
O: 0.931 0.931 0.335  0.06
O: 0.320 0.922 0.320  0.32
O: 0.335 0.931 0.931  0.06
O: 0.680 0.078 0.680  0.32
O: 0.922 0.320 0.320  0.32
O: 0.069 0.665 0.069  0.06
Ge: 0.000 0.500 0.000  -0.02
Ge: 0.000 0.000 0.500  -0.02
Ge: 0.500 0.000 0.000  -0.02
K: 0.392 0.392 0.392  0.00
K: 0.608 0.608 0.608  0.00
U: 0.000 0.000 0.000  0.02

[3]
The following is a GGA-PBE calculation of K2CuBiCl6 after structural relaxation, from the Alexandria database.

Output
Calculated total energy ... -33.84 eV per formula unit
Formation energy (no corrections) ... -1.26 eV per atom
Volume ... 278.4 Å³/f.u.

Lattice parameters (Å, degrees): 7.311 7.292 7.401 119.51 120.62 90.00
Fractional positions:
Bi: 0.000 0.500 0.000
K: 0.763 0.745 0.490
K: 0.237 0.255 0.510
Cl: 0.217 0.716 0.910
Cl: 0.657 0.243 0.487
Cl: 0.217 0.194 0.910
Cl: 0.783 0.806 0.090
Cl: 0.783 0.284 0.090
Cl: 0.343 0.757 0.513
Cu: 0.500 0.000 0.000

[4]
The following is a GGA-PBE calculation of InTcSn2Br after structural relaxation, from the Alexandria database.

Output
Calculated total energy ... -23.26 eV per formula unit
Formation energy (no corrections) ... -0.10 eV per atom
Volume ... 141.7 Å³/f.u.

Lattice parameters (Å, degrees): 5.170 5.170 5.300 90.00 90.00 90.00
Fractional positions:
Sn: 0.500 0.000 0.000
Sn: 0.000 0.500 0.000
Br: 0.500 0.500 0.500
Tc: 0.000 0.000 0.000
In: 0.000 0.000 0.500

[5]
The following is a GGA-PBE calculation of Dy2MnPd6 after structural relaxation, from the Alexandria database.

Output
Calculated total energy ... -53.12 eV per formula unit
Calculated formation energy ... -399 meV per atom
Volume ... 181.1 Å³/f.u.

Lattice parameters (Å, degrees): 3.707 7.762 7.622 120.61 104.10 90.00
Last column: magnetic moment on the atom in μB.
Fractional positions:
Pd: 0.834 0.617 0.669  0.04
Pd: 0.166 0.947 0.331  0.04
Pd: 0.834 0.053 0.669  0.04
Pd: 0.500 0.768 0.000  0.10
Pd: 0.166 0.383 0.331  0.04
Pd: 0.500 0.232 0.000  0.10
Mn: 0.000 0.000 0.000  3.94
Dy: 0.655 0.654 0.307  0.02
Dy: 0.345 0.346 0.693  0.02

[6]
The following is a GGA-PBE calculation of AlCu2Ni after structural relaxation, from the Alexandria database.

Output
Calculated total energy ... -18.12 eV per formula unit
Calculated formation energy ... -100 meV per atom
Volume ... 50.2 Å³/f.u.

Lattice parameters (Å, degrees): 4.137 4.916 4.936 90.00 90.00 90.00
Fractional positions:
Cu: 0.000 0.750 0.185
Cu: 0.500 0.500 0.000
Cu: 0.000 0.250 0.815
Cu: 0.500 0.000 0.000
Ni: 0.500 0.750 0.468
Ni: 0.500 0.250 0.532
Al: 0.000 0.750 0.698
Al: 0.000 0.250 0.302

[7]
The following is a GGA-PBE calculation of TiCo6W after structural relaxation, from the Alexandria database.

Output
Calculated total energy ... -64.89 eV per formula unit
Calculated formation energy ... -176 meV per atom
Volume ... 92.1 Å³/f.u.

Lattice parameters (Å, degrees): 6.207 6.207 10.144 90.00 90.00 109.48
Fractional positions:
Co: 0.374 0.124 0.126
Co: 0.000 0.000 0.000
Co: 0.124 0.374 0.874
Co: 0.250 0.750 0.251
Co: 0.000 0.000 0.500
Co: 0.626 0.876 0.376
Co: 0.750 0.250 0.749
Co: 0.124 0.374 0.376
Co: 0.374 0.124 0.874
Co: 0.876 0.626 0.624
Co: 0.626 0.876 0.874
Co: 0.750 0.250 0.251
Co: 0.124 0.374 0.126
Co: 0.876 0.626 0.126
Co: 0.626 0.876 0.624
Co: 0.374 0.124 0.624
Co: 0.374 0.124 0.376
Co: 0.500 0.500 0.500
Co: 0.124 0.374 0.624
Co: 0.250 0.750 0.749
Co: 0.626 0.876 0.126
Co: 0.876 0.626 0.376
Co: 0.500 0.500 0.000
Co: 0.876 0.626 0.874
Ti: 0.250 0.750 0.000
Ti: 0.500 0.500 0.754
Ti: 0.750 0.250 0.000
Ti: 0.500 0.500 0.246
W: 0.250 0.750 0.500
W: 0.750 0.250 0.500
W: 0.000 0.000 0.754
W: 0.000 0.000 0.246

[8]
The following is a GGA-PBE calculation of TaCdIn3 after structural relaxation, from the Alexandria database.

Output
Calculated total energy ... -17.37 eV per formula unit
Calculated formation energy ... 723 meV per atom
Volume ... 164.4 Å³/f.u.

Lattice parameters (Å, degrees): 5.478 5.478 5.478 90.00 90.00 90.00
Fractional positions:
In: 0.000 0.000 0.500
In: 0.500 0.000 0.000
In: 0.000 0.500 0.000
Ta: 0.000 0.000 0.000
Cd: 0.500 0.500 0.500

[9]
The following is a GGA-PBE calculation of LiTm5Se8 after structural relaxation, from the Alexandria database.

Output
Calculated total energy ... -76.94 eV per formula unit
Formation energy (no corrections) ... -1.77 eV per atom
Volume ... 398.7 Å³/f.u.

Lattice parameters (Å, degrees): 8.261 8.261 8.261 60.00 60.00 60.00
Fractional positions:
Se: 0.380 0.380 0.380
Se: 0.380 0.859 0.380
Se: 0.866 0.866 0.401
Se: 0.859 0.380 0.380
Se: 0.866 0.401 0.866
Se: 0.401 0.866 0.866
Se: 0.866 0.866 0.866
Se: 0.380 0.380 0.859
Tm: 0.620 0.141 0.620
Tm: 0.000 0.000 0.000
Tm: 0.620 0.620 0.620
Tm: 0.620 0.620 0.141
Tm: 0.141 0.620 0.620
Li: 0.250 0.250 0.250

[10]
The following is a GGA-PBE calculation of KPmPbF6 after structural relaxation, from the Alexandria database.

Output
Calculated total energy ... -49.73 eV per formula unit
Formation energy (no corrections) ... -3.22 eV per atom
Volume ... 187.4 Å³/f.u.

Lattice parameters (Å, degrees): 5.662 5.662 11.696 90.00 90.00 90.00
Fractional positions:
K: 0.500 0.500 0.167
K: 0.000 0.000 0.667
F: 0.215 0.785 0.847
F: 0.676 0.676 0.680
F: 0.176 0.824 0.180
F: 0.306 0.306 0.975
F: 0.715 0.715 0.347
F: 0.694 0.694 0.975
F: 0.324 0.324 0.680
F: 0.785 0.215 0.847
F: 0.806 0.194 0.475
F: 0.824 0.176 0.180
F: 0.194 0.806 0.475
F: 0.285 0.285 0.347
Pb: 0.500 0.500 0.498
Pb: 0.000 0.000 0.998
Pm: 0.500 0.500 0.833
Pm: 0.000 0.000 0.333

[11]
The following is a GGA-PBE calculation of MgAg2Pb2 after structural relaxation, from the Alexandria database.

Output
Calculated total energy ... -14.00 eV per formula unit
Calculated formation energy ... 142 meV per atom
Volume ... 126.3 Å³/f.u.

Lattice parameters (Å, degrees): 8.427 8.427 3.555 90.00 90.00 90.00
Fractional positions:
Mg: 0.000 0.000 0.000
Mg: 0.500 0.500 0.000
Pb: 0.827 0.673 0.000
Pb: 0.327 0.827 0.000
Pb: 0.173 0.327 0.000
Pb: 0.673 0.173 0.000
Ag: 0.624 0.876 0.500
Ag: 0.876 0.376 0.500
Ag: 0.376 0.124 0.500
Ag: 0.124 0.624 0.500

[12]
The following is a GGA-PBE calculation of AcGe3Ru3 after structural relaxation, from the Alexandria database.

Output
Calculated total energy ... -46.53 eV per formula unit
Calculated formation energy ... -106 meV per atom
Volume ... 153.2 Å³/f.u.

Lattice parameters (Å, degrees): 6.741 6.741 6.741 90.00 90.00 90.00
Fractional positions:
Ge: 0.000 0.250 0.500
Ge: 0.000 0.750 0.500
Ge: 0.500 0.000 0.250
Ge: 0.250 0.500 0.000
Ge: 0.750 0.500 0.000
Ge: 0.500 0.000 0.750
Ru: 0.250 0.000 0.500
Ru: 0.500 0.750 0.000
Ru: 0.000 0.500 0.250
Ru: 0.000 0.500 0.750
Ru: 0.500 0.250 0.000
Ru: 0.750 0.000 0.500
Ac: 0.000 0.000 0.000
Ac: 0.500 0.500 0.500

[13]
The following is a GGA-PBE calculation of CaMgO3 after structural relaxation, from the Alexandria database.

Output
Calculated total energy ... -23.05 eV per formula unit
Formation energy (no corrections) ... -0.92 eV per atom
Volume ... 74.1 Å³/f.u.

Lattice parameters (Å, degrees): 4.201 4.201 4.201 90.00 90.00 90.00
Last column: magnetic moment on the atom in μB.
Fractional positions:
Ca: 0.000 0.000 0.000  0.04
O: 0.500 0.000 0.000  0.40
O: 0.000 0.500 0.000  0.62
O: 0.000 0.000 0.500  0.72
Mg: 0.500 0.500 0.500  -0.02

[14]
The following is a GGA-PBE calculation of BaCaTc2 after structural relaxation, from the Alexandria database.

Output
Calculated total energy ... -19.88 eV per formula unit
Calculated formation energy ... 1193 meV per atom
Volume ... 93.5 Å³/f.u.

Lattice parameters (Å, degrees): 5.679 5.679 5.679 133.92 133.92 67.22
Last column: magnetic moment on the atom in μB.
Fractional positions:
Ba: 0.250 0.750 0.500  -0.03
Tc: 0.000 0.000 0.000  1.55
Tc: 0.500 0.500 0.000  1.55
Ca: 0.750 0.250 0.500  -0.03

[15]
The following is a GGA-PBE calculation of VGaCu2Hg after structural relaxation, from the Alexandria database.

Output
Calculated total energy ... -15.52 eV per formula unit
Calculated formation energy ... 1025 meV per atom
Volume ... 98.4 Å³/f.u.

Lattice parameters (Å, degrees): 4.439 4.439 4.994 90.00 90.00 90.00
Last column: magnetic moment on the atom in μB.
Fractional positions:
V: 0.500 0.500 0.500  -0.11
Cu: 0.500 0.000 0.000  -0.01
Cu: 0.000 0.500 0.000  -0.01
Hg: 0.000 0.000 0.500  0.01
Ga: 0.000 0.000 0.000  -0.02

[16]
The following is a GGA-PBE calculation of Pu6RuRh2 after structural relaxation, from the Alexandria database.

Output
Calculated total energy ... -109.19 eV per formula unit
Calculated formation energy ... 87 meV per atom
Volume ... 145.8 Å³/f.u.

Lattice parameters (Å, degrees): 2.773 7.793 7.793 120.00 90.00 90.00
Fractional positions:
Pu: 0.920 0.326 0.326
Pu: 0.920 0.674 0.000
Pu: 0.920 0.000 0.674
Pu: 0.080 0.674 0.674
Pu: 0.080 0.326 0.000
Pu: 0.080 0.000 0.326
Ru: 0.500 0.000 0.000
Rh: 0.500 0.667 0.333
Rh: 0.500 0.333 0.667

[17]
The following is a GGA-PBE calculation of Ho2ScTl after structural relaxation, from the Alexandria database.

Output
Calculated total energy ... -18.05 eV per formula unit
Calculated formation energy ... -48 meV per atom
Volume ... 108.0 Å³/f.u.

Lattice parameters (Å, degrees): 5.345 5.345 5.345 60.00 60.00 60.00
Last column: magnetic moment on the atom in μB.
Fractional positions:
Ho: 0.250 0.250 0.250  0.28
Ho: 0.750 0.750 0.750  0.28
Tl: 0.000 0.000 0.000  0.00
Sc: 0.500 0.500 0.500  0.46

[18]
The following is a GGA-PBE calculation of BeCuAs after structural relaxation, from the Alexandria database.

Output
Calculated total energy ... -11.62 eV per formula unit
Calculated formation energy ... 283 meV per atom
Volume ... 41.0 Å³/f.u.

Lattice parameters (Å, degrees): 5.926 5.926 2.705 76.79 76.82 26.38
Fractional positions:
Cu: 0.698 0.698 0.302
As: 0.987 0.987 0.013
Be: 0.315 0.315 0.685

[19]
The following is a GGA-PBE calculation of ZrTaCu2 after structural relaxation, from the Alexandria database.

Output
Calculated total energy ... -28.48 eV per formula unit
Calculated formation energy ... 28 meV per atom
Volume ... 65.2 Å³/f.u.

Lattice parameters (Å, degrees): 2.937 2.937 7.553 90.00 90.00 90.00
Fractional positions:
Cu: 0.000 0.000 0.038
Cu: 0.500 0.500 0.225
Ta: 0.000 0.000 0.467
Zr: 0.500 0.500 0.769

[20]
The following is a GGA-PBE calculation of PmPr4In2 after structural relaxation, from the Alexandria database.

Output
Calculated total energy ... -30.77 eV per formula unit
Calculated formation energy ... -203 meV per atom
Volume ... 235.6 Å³/f.u.

Lattice parameters (Å, degrees): 5.031 6.897 6.897 100.03 90.00 90.00
Fractional positions:
Pr: 0.500 0.000 0.500
Pr: 0.000 0.792 0.792
Pr: 0.000 0.208 0.208
Pr: 0.500 0.500 0.000
In: 0.000 0.283 0.717
In: 0.000 0.717 0.283
Pm: 0.500 0.500 0.500

[21]
The following is a GGA-PBE calculation of SiWSe after structural relaxation, from the Alexandria database.

Output
Calculated total energy ... -18.65 eV per formula unit
Formation energy (no corrections) ... 1.07 eV per atom
Volume ... 54.4 Å³/f.u.

Lattice parameters (Å, degrees): 4.252 4.252 4.252 60.00 60.00 60.00
Fractional positions:
Se: 0.750 0.750 0.750
W: 0.500 0.500 0.500
Si: 0.000 0.000 0.000

[22]
The following is a GGA-PBE calculation of CaSc3Ga after structural relaxation, from the Alexandria database.

Output
Calculated total energy ... -18.33 eV per formula unit
Calculated formation energy ... 1139 meV per atom
Volume ... 134.7 Å³/f.u.

Lattice parameters (Å, degrees): 5.127 5.127 5.127 90.00 90.00 90.00
Fractional positions:
Ca: 0.000 0.000 0.000
Ga: 0.500 0.500 0.500
Sc: 0.000 0.500 0.000
Sc: 0.000 0.000 0.500
Sc: 0.500 0.000 0.000

[23]
The following is a GGA-PBE calculation of Zn2IrCl after structural relaxation, from the Alexandria database.

Output
Calculated total energy ... -11.94 eV per formula unit
Formation energy (no corrections) ... 0.33 eV per atom
Volume ... 65.3 Å³/f.u.

Lattice parameters (Å, degrees): 2.937 2.937 7.569 90.00 90.00 90.00
Fractional positions:
Zn: 0.000 0.000 0.982
Zn: 0.500 0.500 0.228
Cl: 0.000 0.000 0.519
Ir: 0.500 0.500 0.771